The following is a GGA-PBE calculation of a geometry-optimized DyThGa2 structure, from Alexandria.

Output
**Space group**: R-3m, No. 166
**Energy of formation from the pure elements**: -0.326 eV per atom
**E_tot**: -4.845 eV/atom

Lattice parameters (Å, degrees): 9.0287 9.0287 9.0287 23.74 23.74 23.74
Element x y z (fractional)
1 Dy 0.0000 0.0000 0.0000
2 Th 0.5000 0.5000 0.5000
3 Ga 0.2532 0.2532 0.2532
4 Ga 0.7468 0.7468 0.7468